# Er4Tm3Au4

A relaxed Er4Tm3Au4 crystal (GGA-PBE, Alexandria via LeMat-Bulk).

The structure in POSCAR format:
```
Er4Tm3Au4
1.0
4.794 0.000 0.000
0.000 7.598 0.000
-2.397 -3.799 7.756
Er Tm Au
4 3 4
Direct
0.673 0.889 0.346
0.673 0.457 0.346
0.327 0.543 0.654
0.327 0.111 0.654
0.102 0.102 0.205
0.000 0.500 0.000
0.898 0.898 0.795
0.500 0.189 0.000
0.500 0.811 0.000
0.203 0.703 0.406
0.797 0.297 0.594
```

Electronic total energy: -50.898 eV/f.u.
Size of the total moment: 0.00 μB per formula unit
Fermi-level density of states: 8.5 states/eV/f.u.


# LaPuMg

A relaxed LaPuMg crystal (GGA-PBE, Alexandria via LeMat-Bulk).

The structure in POSCAR format:
```
LaPuMg
1.0
3.229 0.000 0.000
-1.615 6.536 -0.015
0.000 -0.991 8.217
La Pu Mg
2 2 2
Direct
0.225 0.451 0.196
0.775 0.549 0.804
0.383 0.765 0.519
0.617 0.235 0.481
0.041 0.081 0.822
0.959 0.919 0.178
```

Electronic total energy: -20.257 eV/f.u.
Size of the total moment: 5.77 μB per formula unit
Fermi-level density of states: 8.5 states/eV/f.u.
E above lowest polymorph: 0.072 eV/atom


# Na2NdPa2Te6

A relaxed Na2NdPa2Te6 crystal (GGA-PBE, Alexandria via LeMat-Bulk).

The structure in POSCAR format:
```
Na2NdPa2Te6
1.0
-4.313 -6.088 1.677
3.943 3.565 5.497
-5.897 5.456 -1.042
Na Pa Te Nd
2 2 6 1
Direct
0.837 0.163 0.000
0.163 0.837 0.000
0.666 0.334 0.500
0.334 0.666 0.500
0.922 0.581 0.264
0.419 0.078 0.736
0.078 0.419 0.736
0.733 0.733 0.738
0.267 0.267 0.262
0.581 0.922 0.264
0.000 0.000 0.500
```

Electronic total energy: -56.284 eV/f.u.
Size of the total moment: 3.02 μB per formula unit
Fermi-level density of states: 13.8 states/eV/f.u.
Formation energy (no corrections): -1.0033 eV per atom


# MnNbMo2H

A relaxed MnNbMo2H crystal (GGA-PBE, Alexandria via LeMat-Bulk).

The structure in POSCAR format:
```
MnNbMo2H
1.0
4.373 0.000 0.000
0.000 4.373 0.000
0.000 0.000 3.358
Mn H Nb Mo
1 1 1 2
Direct
0.000 0.000 0.500
0.000 0.000 0.000
0.500 0.500 0.500
0.000 0.500 0.000
0.500 0.000 0.000
```

Electronic total energy: -44.030 eV/f.u.
Size of the total moment: 1.86 μB per formula unit
Fermi-level density of states: 3.2 states/eV/f.u.


# YBIrI2

A relaxed YBIrI2 crystal (GGA-PBE, Alexandria via LeMat-Bulk).

The structure in POSCAR format:
```
YBIrI2
1.0
4.788 0.000 0.000
0.000 4.986 0.000
0.000 0.000 4.788
I Y Ir B
2 1 1 1
Direct
0.500 0.000 0.000
0.000 0.000 0.500
0.000 0.500 0.000
0.500 0.500 0.500
0.000 0.000 0.000
```

Electronic total energy: -20.236 eV/f.u.
Size of the total moment: 0.50 μB per formula unit
Fermi-level density of states: 4.2 states/eV/f.u.
Formation energy (no corrections): 0.9734 eV per atom


# Mg2TiBr

A relaxed Mg2TiBr crystal (GGA-PBE, Alexandria via LeMat-Bulk).

The structure in POSCAR format:
```
Mg2TiBr
1.0
0.000 3.677 3.677
3.677 0.000 3.677
3.677 3.677 0.000
Ti Mg Br
1 2 1
Direct
0.000 0.000 0.000
0.250 0.250 0.250
0.750 0.750 0.750
0.500 0.500 0.500
```

Electronic total energy: -10.877 eV/f.u.
Size of the total moment: 2.52 μB per formula unit
Fermi-level density of states: 1.9 states/eV/f.u.
Formation energy (no corrections): 0.4699 eV per atom
E above lowest polymorph: 0.258 eV/atom


# Nd2ThTc

A relaxed Nd2ThTc crystal (GGA-PBE, Alexandria via LeMat-Bulk).

The structure in POSCAR format:
```
Nd2ThTc
1.0
-3.320 -5.438 -1.366
4.155 -3.740 4.792
-6.491 2.132 7.292
Th Nd Tc
4 8 4
Direct
0.155 0.945 0.750
0.345 0.445 0.750
0.845 0.055 0.250
0.655 0.555 0.250
0.174 0.674 0.067
0.826 0.326 0.567
0.326 0.174 0.433
0.674 0.826 0.567
0.826 0.326 0.933
0.326 0.174 0.067
0.174 0.674 0.433
0.674 0.826 0.933
0.010 0.373 0.250
0.490 0.873 0.250
0.990 0.627 0.750
0.510 0.127 0.750
```

Electronic total energy: -27.637 eV/f.u.
Size of the total moment: 0.00 μB per formula unit
Fermi-level density of states: 4.7 states/eV/f.u.
E above lowest polymorph: 0.000 eV/atom


# Cu3W

A relaxed Cu3W crystal (GGA-PBE, Alexandria via LeMat-Bulk).

The structure in POSCAR format:
```
Cu3W
1.0
-1.896 0.768 -1.673
-1.311 -2.249 0.452
-3.673 3.281 5.668
Cu W
3 1
Direct
0.000 0.000 0.984
0.000 0.000 0.516
0.500 0.500 0.750
0.500 0.500 0.250
```

Electronic total energy: -24.446 eV/f.u.
Size of the total moment: 0.00 μB per formula unit
Fermi-level density of states: 3.7 states/eV/f.u.